Density functional theory data (PBE-GGA) for a relaxed structure of CrHg2W.

Values from the calculation:
The formation enthalpy at 0 K is 539 meV per atom. The volume is 73 Å³ per cell. For the total magnetization, the calculation gives 0.85 μB/f.u. The space-group type is P4mm (99).

Cell and atoms, written as POSCAR:
```
CrHg2W
1.0
3.1178 0.0000 0.0000
0.0000 3.1178 0.0000
0.0000 0.0000 7.5327
Cr Hg W
1 2 1
direct
0.0000 0.0000 0.0000
0.0000 0.0000 0.5639
0.5000 0.5000 0.2581
0.5000 0.5000 0.8439
```

***

Density functional theory data (PBE-GGA) for a relaxed structure of CrHgW.

Values from the calculation:
The formation enthalpy at 0 K is 713 meV per atom. The volume is 48 Å³ per cell. For the total magnetization, the calculation gives 0.00 μB/f.u. The space-group type is P3m1 (156).

Cell and atoms, written as POSCAR:
```
CrHgW
1.0
4.4918 0.0000 0.0000
-2.2459 3.8900 0.0000
0.0000 0.0000 2.7620
Cr Hg W
1 1 1
direct
0.0000 0.0000 0.0000
0.6667 0.3333 0.3410
0.3333 0.6667 0.7725
```

***

Density functional theory data (PBE-GGA) for a relaxed structure of CrHg2W.

Values from the calculation:
The formation enthalpy at 0 K is 1195 meV per atom. The volume is 159 Å³ per cell. For the total magnetization, the calculation gives 2.76 μB/f.u. The space-group type is I-42d (122).

Cell and atoms, written as POSCAR:
```
CrHg2W
1.0
-3.7606 3.7606 2.8156
3.7606 -3.7606 2.8156
3.7606 3.7606 -2.8156
Cr Hg W
2 4 2
direct
0.0000 0.0000 0.0000
0.7500 0.2500 0.5000
0.1208 0.1250 0.4958
0.3750 0.8792 0.0042
0.6292 0.6250 0.5042
0.8750 0.3708 0.9958
0.2500 0.7500 0.5000
0.5000 0.5000 0.0000
```

***

Density functional theory data (PBE-GGA) for a relaxed structure of CrHg2W.

Values from the calculation:
The formation enthalpy at 0 K is 790 meV per atom. The volume is 73 Å³ per cell. For the total magnetization, the calculation gives 2.41 μB/f.u. The space-group type is C2/m (12).

Cell and atoms, written as POSCAR:
```
CrHg2W
1.0
4.8531 -1.4700 0.0000
4.8531 1.4700 0.0000
-0.8908 0.0000 5.1058
Cr Hg W
1 2 1
direct
0.0000 0.0000 0.0000
0.2525 0.2525 0.7516
0.7475 0.7475 0.2484
0.5000 0.5000 0.5000
```

***

Density functional theory data (PBE-GGA) for a relaxed structure of CrHgW.

Values from the calculation:
The formation enthalpy at 0 K is 1393 meV per atom. The volume is 60 Å³ per cell. For the total magnetization, the calculation gives 0.37 μB/f.u. The space-group type is F-43m (216).

Cell and atoms, written as POSCAR:
```
CrHgW
1.0
0.0000 3.1108 3.1108
3.1108 0.0000 3.1108
3.1108 3.1108 0.0000
Cr Hg W
1 1 1
direct
0.0000 0.0000 0.0000
0.5000 0.5000 0.5000
0.7500 0.7500 0.7500
```

***

Density functional theory data (PBE-GGA) for a relaxed structure of CrHg2W.

Values from the calculation:
The formation enthalpy at 0 K is 804 meV per atom. The volume is 72 Å³ per cell. For the total magnetization, the calculation gives 1.32 μB/f.u. The space-group type is I4/mmm (139).

Cell and atoms, written as POSCAR:
```
CrHg2W
1.0
-2.0453 2.0453 4.2759
2.0453 -2.0453 4.2759
2.0453 2.0453 -4.2759
Cr Hg W
1 2 1
direct
0.0000 0.0000 0.0000
0.2500 0.7500 0.5000
0.7500 0.2500 0.5000
0.5000 0.5000 0.0000
```

***

Density functional theory data (PBE-GGA) for a relaxed structure of Y2CrHgW.

Values from the calculation:
The formation enthalpy at 0 K is 1485 meV per atom. The volume is 151 Å³ per cell. For the total magnetization, the calculation gives 7.35 μB/f.u. The space-group type is P4/mmm (123).

Cell and atoms, written as POSCAR:
```
Y2CrHgW
1.0
5.5351 0.0000 0.0000
0.0000 5.5351 0.0000
0.0000 0.0000 4.9198
Y Cr Hg W
2 1 1 1
direct
0.0000 0.5000 0.0000
0.5000 0.0000 0.0000
0.0000 0.0000 0.5000
0.0000 0.0000 0.0000
0.5000 0.5000 0.5000
```

***

Density functional theory data (PBE-GGA) for a relaxed structure of YCrHg.

Values from the calculation:
The formation enthalpy at 0 K is 75 meV per atom. The volume is 69 Å³ per cell. For the total magnetization, the calculation gives 3.93 μB/f.u. The space-group type is P-6m2 (187).

Cell and atoms, written as POSCAR:
```
YCrHg
1.0
4.8192 0.0000 0.0000
-2.4096 4.1735 0.0000
0.0000 0.0000 3.4503
Y Cr Hg
1 1 1
direct
0.0000 0.0000 0.0000
0.3333 0.6667 0.5000
0.6667 0.3333 0.5000
```